(1)
# LaEr3Sb3

LaEr3Sb3 after structural relaxation (PBE, Alexandria).

abc: 9.151 9.151 8.073
angles: 55.48 55.48 60.00
Positions (direct):
Er (0.817, 0.087, 0.746)
Er (0.087, 0.351, 0.746)
Er (0.649, 0.183, 0.254)
Er (0.351, 0.817, 0.746)
Er (0.183, 0.913, 0.254)
Er (0.913, 0.649, 0.254)
La (0.335, 0.335, 0.996)
La (0.665, 0.665, 0.004)
Sb (0.710, 0.459, 0.751)
Sb (0.459, 0.079, 0.751)
Sb (0.541, 0.921, 0.249)
Sb (0.079, 0.710, 0.751)
Sb (0.921, 0.290, 0.249)
Sb (0.290, 0.541, 0.249)

Properties
Energy in eV per formula unit: -37.08
DOS(E_F) in states/eV per cell: 9.33
Formation energy from raw total energies in eV per atom: -0.871
Magnetization in μB/f.u.: 0.0
Volume in Å³ per atom: 31.6

=====

(2)
# MnGaPCl

MnGaPCl after structural relaxation (PBE, Alexandria).

abc: 3.076 4.009 12.032
angles: 90.00 91.54 90.00
Site moments in Bohr magnetons follow the coordinates.
Positions (direct):
P (0.396, 0.500, 0.095)  -0.01
P (0.396, 0.000, 0.595)  -0.01
Mn (0.881, 0.500, 0.965)  0.28
Mn (0.881, 0.000, 0.465)  0.28
Ga (0.381, 0.000, 0.953)  -0.01
Ga (0.381, 0.500, 0.453)  -0.01
Cl (0.872, 0.000, 0.278)  0.00
Cl (0.872, 0.500, 0.778)  0.00

Properties
Energy in eV per formula unit: -19.69
DOS(E_F) in states/eV per cell: 5.75
Formation energy from raw total energies in eV per atom: -0.059
Magnetization in μB/f.u.: 0.3
Volume in Å³ per atom: 18.5

=====

(3)
# NiMoAsSe2

NiMoAsSe2 after structural relaxation (PBE, Alexandria).

abc: 4.875 4.875 4.912
angles: 90.00 90.00 90.00
Site moments in Bohr magnetons follow the coordinates.
Positions (direct):
Mo (0.000, 0.000, 0.000)  -0.19
Se (0.500, 0.000, 0.000)  0.06
Se (0.000, 0.500, 0.000)  0.06
As (0.000, 0.000, 0.500)  0.01
Ni (0.500, 0.500, 0.500)  0.78

Properties
Energy in eV per formula unit: -24.41
DOS(E_F) in states/eV per cell: 7.48
Formation energy from raw total energies in eV per atom: 0.764
Magnetization in μB/f.u.: 0.7
Volume in Å³ per atom: 23.3

=====

(4)
# Tb7Al5Tl

Tb7Al5Tl after structural relaxation (PBE, Alexandria).

abc: 6.296 7.960 7.960
angles: 78.06 66.70 66.70
Positions (direct):
Al (0.985, 0.487, 0.990)
Al (0.985, 0.990, 0.487)
Al (0.769, 0.731, 0.731)
Al (0.539, 0.990, 0.487)
Al (0.539, 0.487, 0.990)
Tb (0.262, 0.738, 0.738)
Tb (0.621, 0.379, 0.379)
Tb (0.014, 0.306, 0.666)
Tb (0.278, 0.222, 0.222)
Tb (0.014, 0.666, 0.306)
Tb (0.521, 0.803, 0.155)
Tb (0.521, 0.155, 0.803)
Tl (0.953, 0.047, 0.047)

Properties
Energy in eV per formula unit: -56.40
DOS(E_F) in states/eV per cell: 10.34
Magnetization in μB/f.u.: 0.0
Volume in Å³ per atom: 25.8
E_form in eV per atom: -0.223

=====

(5)
# Mn2IrOsCl

Mn2IrOsCl after structural relaxation (PBE, Alexandria).

abc: 4.036 4.383 4.036
angles: 90.00 90.00 90.00
Positions (direct):
Cl (0.000, 0.000, 0.000)
Os (0.500, 0.500, 0.500)
Ir (0.000, 0.500, 0.000)
Mn (0.000, 0.000, 0.500)
Mn (0.500, 0.000, 0.000)

Properties
Energy in eV per formula unit: -33.21
DOS(E_F) in states/eV per cell: 9.64
Formation energy from raw total energies in eV per atom: 1.414
Magnetization in μB/f.u.: 0.0
Volume in Å³ per atom: 14.3

=====

(6)
# Na3Ca2NbSe6

Na3Ca2NbSe6 after structural relaxation (PBE, Alexandria).

abc: 7.114 7.114 7.312
angles: 99.43 99.43 120.06
Positions (direct):
Ca (0.333, 0.667, 0.000)
Ca (0.667, 0.333, 0.000)
Na (0.829, 0.171, 0.500)
Na (0.171, 0.829, 0.500)
Na (0.500, 0.500, 0.500)
Se (0.925, 0.622, 0.774)
Se (0.226, 0.226, 0.778)
Se (0.378, 0.075, 0.226)
Se (0.774, 0.774, 0.222)
Se (0.622, 0.925, 0.774)
Se (0.075, 0.378, 0.226)
Nb (0.000, 0.000, 0.000)

Properties
Energy in eV per formula unit: -54.41
Formation energy from raw total energies in eV per atom: -1.290
Magnetization in μB/f.u.: 0.0
Volume in Å³ per atom: 25.2

=====

> Number 6 is which compound?

Na3Ca2NbSe6